1.
# Ho12InPt6

A relaxed structure of Ho12InPt6 (PBE, Alexandria via LeMat-Bulk).

Output
size of the total moment	0.00	μB per cell
ΔE_f	-865	meV/atom
calculated density	11068	kg/m3

Cell lengths 9.931, 9.931, 9.931 Å; angles 90.00, 90.00, 90.00 degrees
Space group Im-3 (No. 204)
Asymmetric unit:
Ho 0.000 0.181 0.299 [24 per cell]
In 0.000 0.000 0.000 [2 per cell]
Pt 0.000 0.361 0.500 [12 per cell]



2.
# TcTe2RhN

A relaxed structure of TcTe2RhN (PBE, Alexandria via LeMat-Bulk).

Output
relative energy among the computed polymorphs	0.296	eV/atom
size of the total moment	2.66	μB per cell
calculated density	7389	kg/m3

Cell lengths 5.403, 5.403, 3.619 Å; angles 90.00, 90.00, 90.00 degrees
Space group P4/mmm (No. 123)
Asymmetric unit:
Tc 0.000 0.000 0.000 [1 per cell]
Te 0.000 0.500 0.500 [2 per cell]
Rh 0.500 0.500 0.500 [1 per cell]
N 0.500 0.500 0.000 [1 per cell]